[1]
Material: Li3TmPd3
Method: DFT, GGA-PBE
State: optimized geometry

Properties
electronic total energy = -3.624 eV/atom
crystal system = cubic
DOS(E_F) = 0.48 states/eV/atom
formation enthalpy at 0 K = 1.4 kcal/mol of atoms
calculated volume = 18.4 Å³/atom

Cell: 6.3587 6.3587 6.3587 Å, 90.00 90.00 90.00°
Last column: nearest neighbours and their distance in Å.
Atoms (fractional coordinates):
Li 0.0000 0.2500 0.5000  4 Pd 2.25
Li 0.0000 0.7500 0.5000  4 Pd 2.25
Li 0.2500 0.5000 0.0000  4 Pd 2.25
Li 0.5000 0.0000 0.2500  4 Pd 2.25
Li 0.5000 0.0000 0.7500  4 Pd 2.25
Li 0.7500 0.5000 0.0000  4 Pd 2.25
Tm 0.0000 0.0000 0.0000  12 Li 3.55, 12 Pd 3.55
Tm 0.5000 0.5000 0.5000  12 Li 3.55, 12 Pd 3.55
Pd 0.0000 0.5000 0.2500  4 Li 2.25
Pd 0.0000 0.5000 0.7500  4 Li 2.25
Pd 0.2500 0.0000 0.5000  4 Li 2.25
Pd 0.5000 0.2500 0.0000  4 Li 2.25
Pd 0.5000 0.7500 0.0000  4 Li 2.25
Pd 0.7500 0.0000 0.5000  4 Li 2.25

[2]
Material: LiTm2Pd4
Method: DFT, GGA-PBE
State: optimized geometry

Properties
electronic total energy = -5.038 eV/atom
crystal system = tetragonal
DOS(E_F) = 0.47 states/eV/atom
formation enthalpy at 0 K = -12.0 kcal/mol of atoms
calculated volume = 18.9 Å³/atom

Cell: 4.2784 4.2784 14.4284 Å, 90.00 90.00 90.00°
Last column: nearest neighbours and their distance in Å.
Atoms (fractional coordinates):
Li 0.0000 0.0000 0.0000  6 Pd 2.14-2.31
Li 0.5000 0.5000 0.5000  6 Pd 2.14-2.31
Tm 0.0000 0.0000 0.3517  9 Pd 2.77-3.03
Tm 0.0000 0.0000 0.6483  9 Pd 2.77-3.03
Tm 0.5000 0.5000 0.1483  9 Pd 2.77-3.03
Tm 0.5000 0.5000 0.8517  9 Pd 2.77-3.03
Pd 0.0000 0.0000 0.1598  1 Li 2.31
Pd 0.0000 0.0000 0.8402  1 Li 2.31
Pd 0.0000 0.5000 0.0000  2 Li 2.14
Pd 0.0000 0.5000 0.5000  2 Li 2.14
Pd 0.5000 0.0000 0.0000  2 Li 2.14
Pd 0.5000 0.0000 0.5000  2 Li 2.14
Pd 0.5000 0.5000 0.3402  1 Li 2.31
Pd 0.5000 0.5000 0.6598  1 Li 2.31

[3]
Material: LiTmPd5
Method: DFT, GGA-PBE
State: optimized geometry

Properties
electronic total energy = -4.999 eV/atom
crystal system = monoclinic
DOS(E_F) = 0.64 states/eV/atom
formation enthalpy at 0 K = -8.7 kcal/mol of atoms
calculated volume = 17.6 Å³/atom

Cell: 7.4178 7.4178 7.3756 Å, 119.69 119.69 46.05°
Last column: nearest neighbours and their distance in Å.
Atoms (fractional coordinates):
Li 0.0000 0.5000 0.0000  4 Pd 2.50-2.51
Li 0.5000 0.0000 0.5000  4 Pd 2.50-2.51
Tm 0.0162 0.9838 0.2500  5 Pd 2.59-2.72
Tm 0.9838 0.0162 0.7500  5 Pd 2.59-2.72
Pd 0.1247 0.6081 0.4037  1 Li 2.51, 2 Pd 2.69-2.73, 1 Tm 2.72
Pd 0.1252 0.6086 0.8304  1 Li 2.50, 2 Pd 2.69-2.73, 1 Tm 2.71
Pd 0.3914 0.8748 0.6696  1 Li 2.50, 2 Pd 2.69-2.73, 1 Tm 2.71
Pd 0.3919 0.8753 0.0963  1 Li 2.51, 2 Pd 2.69-2.73, 1 Tm 2.72
Pd 0.4627 0.5373 0.2500  1 Tm 2.59, 8 Pd 2.73-2.87
Pd 0.5373 0.4627 0.7500  1 Tm 2.59, 8 Pd 2.73-2.87
Pd 0.6081 0.1247 0.9037  1 Li 2.51, 2 Pd 2.69-2.73, 1 Tm 2.72
Pd 0.6086 0.1252 0.3304  1 Li 2.50, 2 Pd 2.69-2.73, 1 Tm 2.71
Pd 0.8748 0.3914 0.1696  1 Li 2.50, 2 Pd 2.69-2.73, 1 Tm 2.71
Pd 0.8753 0.3919 0.5963  1 Li 2.51, 2 Pd 2.69-2.73, 1 Tm 2.72

[4]
Material: LiTm2Pd8
Method: DFT, GGA-PBE
State: optimized geometry

Properties
electronic total energy = -5.377 eV/atom
crystal system = monoclinic
DOS(E_F) = 0.28 states/eV/atom
formation enthalpy at 0 K = -14.1 kcal/mol of atoms
calculated volume = 16.8 Å³/atom

Cell: 7.5553 7.5553 6.0984 Å, 104.06 104.06 33.35°
Last column: nearest neighbours and their distance in Å.
Atoms (fractional coordinates):
Li 0.0000 0.0000 0.0000  4 Pd 2.47-2.64
Tm 0.2903 0.2903 0.3260  10 Pd 2.76-3.06
Tm 0.7097 0.7097 0.6740  10 Pd 2.76-3.06
Pd 0.0946 0.0946 0.4320  1 Li 2.64, 5 Pd 2.78-2.89, 2 Tm 2.90
Pd 0.1552 0.1552 0.9020  1 Li 2.47
Pd 0.3464 0.3464 0.8160  7 Pd 2.77-2.95, 3 Tm 2.89-2.92
Pd 0.4731 0.4731 0.2669  7 Pd 2.75-2.89, 1 Tm 2.76, 2 Li 2.80
Pd 0.5269 0.5269 0.7331  7 Pd 2.75-2.89, 1 Tm 2.76, 2 Li 2.80
Pd 0.6536 0.6536 0.1840  7 Pd 2.77-2.95, 3 Tm 2.89-2.92
Pd 0.8448 0.8448 0.0980  1 Li 2.47
Pd 0.9054 0.9054 0.5680  1 Li 2.64, 5 Pd 2.78-2.89, 2 Tm 2.90